Compound: ZnTeO3
Source: the Open Quantum Materials Database
Functional: PBE
Structure: optimized geometry

Structure (CIF):
```
data_ZnTeO3
_space_group_name_H-M_alt 'P 1'
_space_group_IT_number 1
_space_group_name_Hall 'P 1'
_cell_length_a 5.185
_cell_length_b 9.058
_cell_length_c 7.542
_cell_angle_alpha 90.00
_cell_angle_beta 128.80
_cell_angle_gamma 90.00
loop_
_atom_site_label
_atom_site_type_symbol
_atom_site_fract_x
_atom_site_fract_y
_atom_site_fract_z
_atom_site_occupancy
O1 O 0.879 0.641 0.372 1
Zn1 Zn 0.343 0.957 0.115 1
Te1 Te 0.862 0.789 0.609 1
Zn2 Zn 0.657 0.043 0.885 1
O2 O 0.879 0.859 0.872 1
O3 O 0.260 0.098 0.854 1
Te2 Te 0.138 0.289 0.891 1
O4 O 0.260 0.402 0.354 1
O5 O 0.121 0.141 0.128 1
O6 O 0.586 0.154 0.627 1
Zn3 Zn 0.343 0.543 0.615 1
O7 O 0.414 0.846 0.373 1
Te3 Te 0.138 0.211 0.391 1
O8 O 0.586 0.346 0.127 1
O9 O 0.740 0.598 0.646 1
O10 O 0.414 0.654 0.873 1
Zn4 Zn 0.657 0.457 0.385 1
O11 O 0.121 0.359 0.628 1
O12 O 0.740 0.902 0.146 1
Te4 Te 0.862 0.711 0.109 1
```

Output
E (eV per atom): -5.02